This record from the Alexandria database describes a PBEsol-optimized structure of Co2Au. The functional is SCAN.

Cell lengths 3.227, 3.227, 4.136 Å; angles 90.00, 90.00, 90.00 degrees
Site moments in Bohr magnetons follow the coordinates.
Fractional coordinates of all 3 atoms:
1 Co 0.500 0.000 0.500  1.94
2 Co 0.000 0.500 0.500  1.94
3 Au 0.000 0.000 0.000  0.01

## Properties
- total magnetic moment (μB/atom) = 1.266


This record from the Alexandria database describes a PBEsol-optimized structure of Co2Au. The functional is SCAN.

Cell lengths 3.405, 3.405, 7.552 Å; angles 103.03, 103.03, 90.00 degrees
Site moments in Bohr magnetons follow the coordinates.
Fractional coordinates of all 6 atoms:
1 Co 0.421 0.421 0.843  1.96
2 Co 0.579 0.579 0.157  1.96
3 Co 0.671 0.171 0.343  1.96
4 Co 0.829 0.329 0.657  1.96
5 Au 0.250 0.750 0.500  0.07
6 Au 0.000 0.000 0.000  0.07

## Properties
- total magnetic moment (μB/atom) = 1.323


This record from the Alexandria database describes a PBEsol-optimized structure of Co2Au. The functional is SCAN.

Cell lengths 4.789, 4.789, 4.789 Å; angles 107.28, 107.28, 113.95 degrees
Site moments in Bohr magnetons follow the coordinates.
Fractional coordinates of all 6 atoms:
1 Co 0.869 0.631 0.500  1.94
2 Co 0.631 0.131 0.763  1.94
3 Co 0.131 0.369 0.500  1.94
4 Co 0.369 0.869 0.237  1.94
5 Au 0.250 0.250 0.000  0.06
6 Au 0.750 0.750 0.000  0.06

## Properties
- total magnetic moment (μB/atom) = 1.262


This record from the Alexandria database describes a PBEsol-optimized structure of CoAu. The functional is SCAN.

Cell lengths 3.764, 3.764, 4.710 Å; angles 113.55, 113.55, 90.00 degrees
Site moments in Bohr magnetons follow the coordinates.
Fractional coordinates of all 4 atoms:
1 Co 0.750 0.250 0.500  1.94
2 Co 0.500 0.500 0.000  1.94
3 Au 0.250 0.750 0.500  0.06
4 Au 0.000 0.000 0.000  0.06

## Properties
- total magnetic moment (μB/atom) = 0.955


This record from the Alexandria database describes a PBEsol-optimized structure of CoAu3. The functional is SCAN.

Cell lengths 2.781, 4.615, 4.851 Å; angles 90.00, 90.00, 90.00 degrees
Site moments in Bohr magnetons follow the coordinates.
Fractional coordinates of all 4 atoms:
1 Au 0.500 0.500 0.829  0.01
2 Au 0.000 0.000 0.010  0.01
3 Au 0.500 0.000 0.496  0.01
4 Co 0.000 0.500 0.332  1.93

## Properties
- total magnetic moment (μB/atom) = 0.489


This record from the Alexandria database describes a PBEsol-optimized structure of CrCoAu2. The functional is SCAN.

Cell lengths 3.786, 3.892, 3.892 Å; angles 90.00, 90.00, 90.00 degrees
Site moments in Bohr magnetons follow the coordinates.
Fractional coordinates of all 4 atoms:
1 Co 0.500 0.500 0.500  -1.76
2 Au 0.000 0.500 0.000  0.10
3 Au 0.000 0.000 0.500  0.10
4 Cr 0.500 0.000 0.000  3.61

## Properties
- total magnetic moment (μB/atom) = 0.572
- energy above the lowest structure with this stoichiometry (meV/atom) = 0.0


| no. | E_tot (eV/atom) |
| --- | --- |
| 1 | -34.164 |
| 2 | -34.095 |
| 3 | -34.077 |
| 4 | -43.048 |
| 5 | -56.093 |
| 6 | -43.437 |